(1)
Density functional theory data (PBE-GGA) for a relaxed structure of Hf2AsRh.

a = 5.916 Å, b = 5.916 Å, c = 5.916 Å
α = 104.93°, β = 104.93°, γ = 118.99°
Atoms (fractional coordinates):
Hf: 0.116 0.625 0.991
Hf: 0.375 0.366 0.491
Hf: 0.634 0.125 0.009
Hf: 0.875 0.884 0.509
As: 0.250 0.750 0.500
As: 0.500 0.500 0.000
Rh: 0.000 0.000 0.000
Rh: 0.750 0.250 0.500

Calculated values
* formation enthalpy at 0 K: -0.443 eV/atom
* space-group type: I-42d

(2)
Density functional theory data (PBE-GGA) for a relaxed structure of Hf2AsRh2.

a = 7.449 Å, b = 7.449 Å, c = 3.235 Å
α = 90.00°, β = 90.00°, γ = 90.00°
Atoms (fractional coordinates):
Hf: 0.166 0.334 0.000
Hf: 0.334 0.834 0.000
Hf: 0.666 0.166 0.000
Hf: 0.834 0.666 0.000
As: 0.000 0.000 0.500
As: 0.500 0.500 0.500
Rh: 0.132 0.632 0.500
Rh: 0.368 0.132 0.500
Rh: 0.632 0.868 0.500
Rh: 0.868 0.368 0.500

Calculated values
* formation enthalpy at 0 K: -0.705 eV/atom
* space-group type: P4/mbm

(3)
Density functional theory data (PBE-GGA) for a relaxed structure of HfAsRh3.

a = 4.763 Å, b = 4.763 Å, c = 4.763 Å
α = 90.00°, β = 90.00°, γ = 90.00°
Atoms (fractional coordinates):
Hf: 0.000 0.000 0.000
As: 0.500 0.500 0.500
Rh: 0.000 0.000 0.500
Rh: 0.000 0.500 0.000
Rh: 0.500 0.000 0.000

Calculated values
* formation enthalpy at 0 K: 0.890 eV/atom
* E above lowest polymorph: 0.825 eV per atom
* space-group type: Pm-3m

(4)
Density functional theory data (PBE-GGA) for a relaxed structure of Hf2ScAsRh.

a = 4.902 Å, b = 4.902 Å, c = 4.806 Å
α = 90.00°, β = 90.00°, γ = 90.00°
Atoms (fractional coordinates):
Hf: 0.000 0.500 0.000
Hf: 0.500 0.000 0.000
Sc: 0.000 0.000 0.500
As: 0.000 0.000 0.000
Rh: 0.500 0.500 0.500

Calculated values
* formation enthalpy at 0 K: 0.183 eV/atom
* space-group type: P4/mmm

(5)
Density functional theory data (PBE-GGA) for a relaxed structure of SrHfAs2Rh.

a = 5.105 Å, b = 5.105 Å, c = 4.832 Å
α = 90.00°, β = 90.00°, γ = 90.00°
Atoms (fractional coordinates):
Sr: 0.000 0.000 0.000
Hf: 0.500 0.500 0.000
As: 0.000 0.500 0.500
As: 0.500 0.000 0.500
Rh: 0.500 0.500 0.500

Calculated values
* formation enthalpy at 0 K: 0.023 eV/atom
* space-group type: P4/mmm

(6)
Density functional theory data (PBE-GGA) for a relaxed structure of HfAs3Ru.

a = 5.066 Å, b = 5.066 Å, c = 5.066 Å
α = 90.00°, β = 90.00°, γ = 90.00°
Atoms (fractional coordinates):
Hf: 0.000 0.000 0.000
As: 0.000 0.000 0.500
As: 0.000 0.500 0.000
As: 0.500 0.000 0.000
Ru: 0.500 0.500 0.500

Calculated values
* formation enthalpy at 0 K: 0.933 eV/atom
* E above lowest polymorph: 0.389 eV per atom
* space-group type: Pm-3m

(7)
Density functional theory data (PBE-GGA) for a relaxed structure of HfAsRu3.

a = 4.474 Å, b = 4.474 Å, c = 4.474 Å
α = 90.00°, β = 90.00°, γ = 90.00°
Atoms (fractional coordinates):
Hf: 0.000 0.000 0.000
As: 0.500 0.500 0.500
Ru: 0.000 0.500 0.500
Ru: 0.500 0.000 0.500
Ru: 0.500 0.500 0.000

Calculated values
* formation enthalpy at 0 K: 0.320 eV/atom
* E above lowest polymorph: 0.000 eV per atom
* space-group type: Pm-3m

(8)
Density functional theory data (PBE-GGA) for a relaxed structure of Hf2AsRu.

a = 7.354 Å, b = 7.354 Å, c = 7.354 Å
α = 132.41°, β = 132.41°, γ = 69.58°
Atoms (fractional coordinates):
Hf: 0.105 0.625 0.980
Hf: 0.375 0.355 0.480
Hf: 0.645 0.125 0.020
Hf: 0.875 0.895 0.520
As: 0.250 0.750 0.500
As: 0.500 0.500 0.000
Ru: 0.000 0.000 0.000
Ru: 0.750 0.250 0.500

Calculated values
* formation enthalpy at 0 K: 0.224 eV/atom
* space-group type: I-42d

(9)
Density functional theory data (PBE-GGA) for a relaxed structure of HfAsRu3.

a = 4.775 Å, b = 4.775 Å, c = 4.775 Å
α = 90.00°, β = 90.00°, γ = 90.00°
Atoms (fractional coordinates):
Hf: 0.000 0.000 0.000
As: 0.500 0.500 0.500
Ru: 0.000 0.000 0.500
Ru: 0.000 0.500 0.000
Ru: 0.500 0.000 0.000

Calculated values
* formation enthalpy at 0 K: 1.621 eV/atom
* E above lowest polymorph: 1.302 eV per atom
* space-group type: Pm-3m

(10)
Density functional theory data (PBE-GGA) for a relaxed structure of HfAsRu2.

a = 4.281 Å, b = 4.281 Å, c = 3.404 Å
α = 90.00°, β = 90.00°, γ = 90.00°
Atoms (fractional coordinates):
Hf: 0.000 0.000 0.000
As: 0.500 0.500 0.000
Ru: 0.000 0.500 0.500
Ru: 0.500 0.000 0.500

Calculated values
* formation enthalpy at 0 K: -0.476 eV/atom
* space-group type: P4/mmm

(11)
Density functional theory data (PBE-GGA) for a relaxed structure of HfAsRu.

a = 7.231 Å, b = 7.231 Å, c = 8.924 Å
α = 112.79°, β = 112.79°, γ = 30.37°
Atoms (fractional coordinates):
Hf: 0.070 0.070 0.293
Hf: 0.328 0.328 0.146
Hf: 0.672 0.672 0.854
Hf: 0.930 0.930 0.707
As: 0.105 0.105 0.612
As: 0.108 0.108 0.019
As: 0.892 0.892 0.981
As: 0.895 0.895 0.388
Ru: 0.296 0.296 0.456
Ru: 0.304 0.304 0.780
Ru: 0.696 0.696 0.220
Ru: 0.704 0.704 0.544

Calculated values
* formation enthalpy at 0 K: -0.591 eV/atom
* space-group type: C2/m

(12)
Density functional theory data (PBE-GGA) for a relaxed structure of Hf3AsRu.

a = 4.943 Å, b = 4.943 Å, c = 4.943 Å
α = 90.00°, β = 90.00°, γ = 90.00°
Atoms (fractional coordinates):
Hf: 0.000 0.000 0.500
Hf: 0.000 0.500 0.000
Hf: 0.500 0.000 0.000
As: 0.500 0.500 0.500
Ru: 0.000 0.000 0.000

Calculated values
* formation enthalpy at 0 K: 0.225 eV/atom
* E above lowest polymorph: 0.000 eV per atom
* space-group type: Pm-3m

(13)
Density functional theory data (PBE-GGA) for a relaxed structure of HfAs3Ru.

a = 4.758 Å, b = 4.758 Å, c = 4.758 Å
α = 90.00°, β = 90.00°, γ = 90.00°
Atoms (fractional coordinates):
Hf: 0.000 0.000 0.000
As: 0.000 0.500 0.500
As: 0.500 0.000 0.500
As: 0.500 0.500 0.000
Ru: 0.500 0.500 0.500

Calculated values
* formation enthalpy at 0 K: 0.544 eV/atom
* E above lowest polymorph: 0.000 eV per atom
* space-group type: Pm-3m

(14)
Density functional theory data (PBE-GGA) for a relaxed structure of Hf3AsRu.

a = 4.852 Å, b = 4.852 Å, c = 4.852 Å
α = 90.00°, β = 90.00°, γ = 90.00°
Atoms (fractional coordinates):
Hf: 0.000 0.000 0.500
Hf: 0.000 0.500 0.000
Hf: 0.500 0.000 0.000
As: 0.000 0.000 0.000
Ru: 0.500 0.500 0.500

Calculated values
* formation enthalpy at 0 K: 0.494 eV/atom
* E above lowest polymorph: 0.268 eV per atom
* space-group type: Pm-3m

(15)
Density functional theory data (PBE-GGA) for a relaxed structure of HfAsRu.

a = 6.578 Å, b = 6.578 Å, c = 3.928 Å
α = 90.00°, β = 90.00°, γ = 120.00°
Atoms (fractional coordinates):
Hf: 0.000 0.581 0.000
Hf: 0.419 0.419 0.000
Hf: 0.581 0.000 0.000
As: 0.000 0.000 0.000
As: 0.333 0.667 0.500
As: 0.667 0.333 0.500
Ru: 0.000 0.246 0.500
Ru: 0.246 0.000 0.500
Ru: 0.754 0.754 0.500

Calculated values
* formation enthalpy at 0 K: -0.792 eV/atom
* space-group type: P-62m

(16)
Density functional theory data (PBE-GGA) for a relaxed structure of HfAsRu.

a = 5.657 Å, b = 5.657 Å, c = 5.657 Å
α = 148.31°, β = 148.31°, γ = 45.43°
Atoms (fractional coordinates):
Hf: 0.000 0.000 0.000
As: 0.313 0.313 0.000
Ru: 0.684 0.684 0.000

Calculated values
* formation enthalpy at 0 K: -0.414 eV/atom
* space-group type: I4mm

(17)
Density functional theory data (PBE-GGA) for a relaxed structure of Hf2AsRu2.

a = 6.089 Å, b = 6.089 Å, c = 6.089 Å
α = 137.47°, β = 137.47°, γ = 61.71°
Atoms (fractional coordinates):
Hf: 0.250 0.750 0.500
Hf: 0.750 0.250 0.500
As: 0.000 0.000 0.000
Ru: 0.385 0.385 0.000
Ru: 0.615 0.615 0.000

Calculated values
* formation enthalpy at 0 K: 0.088 eV/atom
* E above lowest polymorph: 0.444 eV per atom
* space-group type: I4/mmm

(18)
Density functional theory data (PBE-GGA) for a relaxed structure of Hf2As2Ru.

a = 6.837 Å, b = 6.837 Å, c = 3.743 Å
α = 90.00°, β = 90.00°, γ = 90.00°
Atoms (fractional coordinates):
Hf: 0.158 0.342 0.000
Hf: 0.342 0.842 0.000
Hf: 0.658 0.158 0.000
Hf: 0.842 0.658 0.000
As: 0.149 0.649 0.500
As: 0.351 0.149 0.500
As: 0.649 0.851 0.500
As: 0.851 0.351 0.500
Ru: 0.000 0.000 0.500
Ru: 0.500 0.500 0.500

Calculated values
* formation enthalpy at 0 K: -0.603 eV/atom
* space-group type: P4/mbm

(19)
Density functional theory data (PBE-GGA) for a relaxed structure of Hf2AsRu2.

a = 7.408 Å, b = 7.408 Å, c = 3.241 Å
α = 90.00°, β = 90.00°, γ = 90.00°
Atoms (fractional coordinates):
Hf: 0.161 0.339 0.000
Hf: 0.339 0.839 0.000
Hf: 0.661 0.161 0.000
Hf: 0.839 0.661 0.000
As: 0.000 0.000 0.500
As: 0.500 0.500 0.500
Ru: 0.137 0.637 0.500
Ru: 0.363 0.137 0.500
Ru: 0.637 0.863 0.500
Ru: 0.863 0.363 0.500

Calculated values
* formation enthalpy at 0 K: -0.357 eV/atom
* E above lowest polymorph: 0.000 eV per atom
* space-group type: P4/mbm

(20)
Density functional theory data (PBE-GGA) for a relaxed structure of HfAsRu2.

a = 5.714 Å, b = 5.714 Å, c = 5.714 Å
α = 104.00°, β = 104.00°, γ = 121.08°
Atoms (fractional coordinates):
Hf: 0.000 0.000 0.000
Hf: 0.750 0.250 0.500
As: 0.250 0.750 0.500
As: 0.500 0.500 0.000
Ru: 0.180 0.125 0.555
Ru: 0.375 0.820 0.945
Ru: 0.570 0.625 0.445
Ru: 0.875 0.430 0.055

Calculated values
* formation enthalpy at 0 K: 0.039 eV/atom
* space-group type: I-42d